Here is a relaxed Mo2Os3 crystal from Alexandria via LeMat-Bulk. Energies are from GGA-PBE.

POSCAR file:
```
Mo2Os3
1.0
2.128 -3.686 0.000
2.128 3.686 0.000
0.000 0.000 5.324
Mo Os
2 3
direct
0.333 0.667 0.816
0.667 0.333 0.184
0.667 0.333 0.656
0.333 0.667 0.344
0.000 0.000 0.000
```

Its space group is P-3m1. For the distance to the lowest polymorph of the same formula, the calculation gives 403 meV/atom. The value obtained for the raw total energy is -53.0 eV/f.u. The volume comes out at 16.71 Å³ per atom. The formation energy is 0.48 eV per atom. Its total magnetic moment is 0.00 μB per formula unit.